This record from Alexandria via LeMat-Bulk describes a relaxed structure of CeHfTh. The functional is GGA-PBE.

Cell: 3.2728 3.2728 17.3028 Å, 90.04 90.04 119.20°
Fractional positions:
1 Ce 0.2311 0.2311 0.2676
2 Ce 0.7689 0.7689 0.7323
3 Hf 0.2486 0.2486 0.5724
4 Hf 0.7514 0.7514 0.4276
5 Th 0.2431 0.2431 0.9082
6 Th 0.7569 0.7569 0.0918

Results
- formation enthalpy at 0 K (eV per atom) = 0.20
- total moment (μB per formula unit) = 0.00
- DOS(E_F) (states/eV/atom) = 2.229
- polymorph energy (0 for the lowest one) (meV per atom) = 84.2



This record from Alexandria via LeMat-Bulk describes a relaxed structure of La8As3Se4S. The functional is GGA-PBE.

Cell: 8.6603 8.6603 8.6603 Å, 59.78 59.78 59.78°
Fractional positions:
1 La 0.2474 0.2474 0.2474
2 La 0.2488 0.7454 0.7454
3 La 0.2546 0.2546 0.7512
4 La 0.2546 0.7512 0.2546
5 La 0.7454 0.2488 0.7454
6 La 0.7454 0.7454 0.2488
7 La 0.7512 0.2546 0.2546
8 La 0.7526 0.7526 0.7526
9 As 0.0000 0.0000 0.5000
10 As 0.0000 0.5000 0.0000
11 As 0.5000 0.0000 0.0000
12 Se 0.0000 0.0000 0.0000
13 Se 0.0000 0.5000 0.5000
14 Se 0.5000 0.0000 0.5000
15 Se 0.5000 0.5000 0.0000
16 S 0.5000 0.5000 0.5000

Results
- total moment (μB per formula unit) = 0.00
- E_form (uncorrected) (eV/atom) = -1.898
- DOS(E_F) (states/eV/atom) = 0.577



This record from Alexandria via LeMat-Bulk describes a relaxed structure of Pa2NiS4Cl. The functional is GGA-PBE.

Cell: 6.0483 6.0483 7.4055 Å, 107.65 107.65 37.12°
Fractional positions:
1 Pa 0.1822 0.1822 0.2154
2 Pa 0.8178 0.8178 0.7846
3 Ni 0.0000 0.0000 0.5000
4 S 0.1600 0.1600 0.8180
5 S 0.3768 0.3768 0.5573
6 S 0.6232 0.6232 0.4427
7 S 0.8400 0.8400 0.1820
8 Cl 0.5000 0.5000 0.0000

Results
- total moment (μB per formula unit) = 0.77
- E_form (uncorrected) (eV/atom) = -1.289
- DOS(E_F) (states/eV/atom) = 0.729



This record from Alexandria via LeMat-Bulk describes a relaxed structure of La2MgTiPt6. The functional is GGA-PBE.

Cell: 5.7748 5.7812 8.7579 Å, 70.88 70.92 60.13°
Fractional positions:
1 La 0.2102 0.2115 0.3659
2 La 0.7898 0.7885 0.6341
3 Mg 0.0000 0.0000 0.0000
4 Ti 0.5000 0.5000 0.5000
5 Pt 0.2343 0.7466 0.2712
6 Pt 0.2548 0.2527 0.7293
7 Pt 0.2550 0.7634 0.7297
8 Pt 0.7450 0.2366 0.2703
9 Pt 0.7452 0.7473 0.2707
10 Pt 0.7657 0.2534 0.7288

Results
- formation enthalpy at 0 K (eV per atom) = -0.80
- total moment (μB per formula unit) = 0.00
- DOS(E_F) (states/eV/atom) = 0.440



This record from Alexandria via LeMat-Bulk describes a relaxed structure of BeCoNi2. The functional is GGA-PBE.

Cell: 2.4822 3.2688 4.9834 Å, 90.00 90.13 90.00°
Fractional positions:
1 Be 0.0000 0.0000 0.0000
2 Co 0.5014 0.5000 0.7478
3 Ni 0.0004 0.0000 0.4992
4 Ni 0.4996 0.5000 0.2251

Results
- formation enthalpy at 0 K (eV per atom) = -0.10
- total moment (μB per formula unit) = 2.12
- DOS(E_F) (states/eV/atom) = 0.995



This record from Alexandria via LeMat-Bulk describes a relaxed structure of Tc2B2I. The functional is GGA-PBE.

Cell: 6.5325 6.5325 3.0550 Å, 90.00 90.00 90.00°
Fractional positions:
1 Tc 0.1573 0.3427 0.0000
2 Tc 0.3427 0.8427 0.0000
3 Tc 0.6573 0.1573 0.0000
4 Tc 0.8427 0.6573 0.0000
5 B 0.0962 0.5962 0.5000
6 B 0.4038 0.0962 0.5000
7 B 0.5962 0.9038 0.5000
8 B 0.9038 0.4038 0.5000
9 I 0.0000 0.0000 0.5000
10 I 0.5000 0.5000 0.5000

Results
- total moment (μB per formula unit) = 0.00
- E_form (uncorrected) (eV/atom) = 0.813
- DOS(E_F) (states/eV/atom) = 0.617
- polymorph energy (0 for the lowest one) (meV per atom) = 331.1



This record from Alexandria via LeMat-Bulk describes a relaxed structure of TiBRuN2. The functional is GGA-PBE.

Cell: 3.8237 3.8237 4.2409 Å, 90.00 90.00 90.00°
Fractional positions:
1 Ti 0.0000 0.0000 0.0000
2 B 0.0000 0.0000 0.5000
3 Ru 0.5000 0.5000 0.5000
4 N 0.0000 0.5000 0.0000
5 N 0.5000 0.0000 0.0000

Results
- total moment (μB per formula unit) = 1.27
- E_form (uncorrected) (eV/atom) = 1.265
- DOS(E_F) (states/eV/atom) = 0.897



This record from Alexandria via LeMat-Bulk describes a relaxed structure of InNiSe2. The functional is GGA-PBE.

Cell: 6.9471 6.9471 6.9471 Å, 151.43 149.29 42.44°
Fractional positions:
1 In 0.0000 0.0000 0.0000
2 Ni 0.7577 0.2577 0.5000
3 Se 0.3230 0.8230 0.5000
4 Se 0.6200 0.6200 0.0000

Results
- total moment (μB per formula unit) = 0.00
- E_form (uncorrected) (eV/atom) = -0.040
- DOS(E_F) (states/eV/atom) = 0.748